Record 1
DFT (PBE) results for a relaxed structure of NbReSbTe2.

Cell lengths 5.276, 5.276, 5.077 Å; angles 90.00, 90.00, 90.00 degrees
Sites, in units of the cell vectors:
Nb: 0.000 0.000 0.000
Re: 0.500 0.500 0.500
Sb: 0.500 0.500 0.000
Te: 0.000 0.500 0.500
Te: 0.500 0.000 0.500

Output
**Spin magnetization**: 0.7010 μB/atom
**Raw formation energy**: 27.55 kcal/mol of atoms
**Symmetry**: P4/mmm, No. 123
**ΔE to the lowest computed polymorph**: 0 meV/atom
**E_tot**: -26.9 eV per cell

Record 2
DFT (PBE) results for a relaxed structure of Tl4InSb.

Cell lengths 6.479, 6.479, 6.479 Å; angles 60.00, 60.00, 60.00 degrees
Sites, in units of the cell vectors:
Tl: 0.125 0.125 0.125
Tl: 0.125 0.125 0.624
Tl: 0.125 0.624 0.125
Tl: 0.624 0.125 0.125
In: 0.750 0.750 0.750
Sb: 0.500 0.500 0.500

Output
**Spin magnetization**: 0.0000 μB/atom
**Raw formation energy**: 4.00 kcal/mol of atoms
**Symmetry**: F-43m, No. 216
**ΔE to the lowest computed polymorph**: 117 meV/atom
**E_tot**: -15.3 eV per cell

Record 3
DFT (PBE) results for a relaxed structure of CaLuGaSn.

Cell lengths 5.215, 5.215, 5.215 Å; angles 60.00, 60.00, 60.00 degrees
Sites, in units of the cell vectors:
Ca: 0.000 0.000 0.000
Lu: 0.500 0.500 0.500
Ga: 0.750 0.750 0.750
Sn: 0.250 0.250 0.250

Output
**Spin magnetization**: 0.0002 μB/atom
**Symmetry**: F-43m, No. 216
**E_tot**: -15.5 eV per cell

Record 4
DFT (PBE) results for a relaxed structure of Hf6BeSb2.

Cell lengths 6.109, 6.109, 12.216 Å; angles 90.00, 90.00, 90.00 degrees
Sites, in units of the cell vectors:
Hf: 0.186 0.186 0.137
Hf: 0.186 0.186 0.863
Hf: 0.226 0.226 0.500
Hf: 0.274 0.726 0.000
Hf: 0.314 0.686 0.363
Hf: 0.314 0.686 0.637
Hf: 0.686 0.314 0.363
Hf: 0.686 0.314 0.637
Hf: 0.726 0.274 0.000
Hf: 0.774 0.774 0.500
Hf: 0.814 0.814 0.137
Hf: 0.814 0.814 0.863
Be: 0.000 0.000 0.000
Be: 0.500 0.500 0.500
Sb: 0.000 0.000 0.328
Sb: 0.000 0.000 0.672
Sb: 0.500 0.500 0.172
Sb: 0.500 0.500 0.828

Output
**Spin magnetization**: 0.0000 μB/atom
**Raw formation energy**: 7.67 kcal/mol of atoms
**Symmetry**: P4_2/mnm, No. 136
**ΔE to the lowest computed polymorph**: 767 meV/atom
**E_tot**: -137.4 eV per cell

Record 5
DFT (PBE) results for a relaxed structure of Cu2ReB.

Cell lengths 9.593, 9.593, 9.593 Å; angles 160.79, 160.79, 27.29 degrees
Sites, in units of the cell vectors:
Cu: 0.122 0.625 0.997
Cu: 0.375 0.372 0.497
Cu: 0.628 0.125 0.003
Cu: 0.875 0.878 0.503
Re: 0.250 0.750 0.500
Re: 0.500 0.500 0.000
B: 0.000 0.000 0.000
B: 0.750 0.250 0.500

Output
**Spin magnetization**: 0.0000 μB/atom
**Symmetry**: I-42d, No. 122
**E_tot**: -50.4 eV per cell

Record 6
DFT (PBE) results for a relaxed structure of La2CrCo2.

Cell lengths 6.447, 6.447, 4.624 Å; angles 90.00, 90.00, 90.00 degrees
Sites, in units of the cell vectors:
La: 0.175 0.325 0.000
La: 0.325 0.825 0.000
La: 0.675 0.175 0.000
La: 0.825 0.675 0.000
Cr: 0.000 0.000 0.500
Cr: 0.500 0.500 0.500
Co: 0.148 0.648 0.500
Co: 0.352 0.148 0.500
Co: 0.648 0.852 0.500
Co: 0.852 0.352 0.500

Output
**Spin magnetization**: 0.0000 μB/atom
**Symmetry**: P4/mbm, No. 127
**E_tot**: -64.3 eV per cell

What is the spin magnetization in the third record?
0.0002 μB/atom